(1)
AcLaPm2Nd5: relaxed, GGA-PBE.

Calculated formation energy: 0.133 eV per atom
Density: 6.78 g/cm3
Symmetry: Cmc2_1, No. 36
Magnetic moment: 0.000 μB/cell

The structure in CIF format:
```
data_AcLaPm2Nd5
_chemical_formula_sum 'Ac2 La2 Pm4 Nd10'
_cell_length_a 12.551
_cell_length_b 12.551
_cell_length_c 9.622
_cell_angle_alpha 90.00
_cell_angle_beta 90.00
_cell_angle_gamma 153.56
_space_group_name_H-M_alt 'P 1'
_space_group_IT_number 1
loop_
_space_group_symop_operation_xyz
'x,y,z'
loop_
_atom_site_label
_atom_site_type_symbol
_atom_site_fract_x
_atom_site_fract_y
_atom_site_fract_z
_atom_site_occupancy
Ac1 Ac 0.103 0.897 0.500 1
Ac2 Ac 0.897 0.103 0.000 1
La1 La 0.264 0.736 0.891 1
La2 La 0.736 0.264 0.391 1
Pm1 Pm 0.332 0.668 0.252 1
Pm2 Pm 0.388 0.612 0.645 1
Pm3 Pm 0.612 0.388 0.145 1
Pm4 Pm 0.668 0.332 0.752 1
Nd1 Nd 0.024 0.976 0.179 1
Nd2 Nd 0.103 0.897 0.896 1
Nd3 Nd 0.190 0.810 0.199 1
Nd4 Nd 0.241 0.759 0.568 1
Nd5 Nd 0.495 0.505 0.406 1
Nd6 Nd 0.505 0.495 0.906 1
Nd7 Nd 0.759 0.241 0.068 1
Nd8 Nd 0.810 0.190 0.699 1
Nd9 Nd 0.897 0.103 0.396 1
Nd10 Nd 0.976 0.024 0.679 1
```

---

(2)
Sc4IrPd2: relaxed, GGA-PBE.

Calculated formation energy: -0.804 eV per atom
Density: 7.04 g/cm3
Symmetry: R-3m, No. 166
Magnetic moment: 0.000 μB/cell

The structure in CIF format:
```
data_Sc4IrPd2
_chemical_formula_sum 'Sc4 Ir1 Pd2'
_cell_length_a 7.975
_cell_length_b 7.975
_cell_length_c 7.975
_cell_angle_alpha 33.54
_cell_angle_beta 33.54
_cell_angle_gamma 33.54
_space_group_name_H-M_alt 'P 1'
_space_group_IT_number 1
loop_
_space_group_symop_operation_xyz
'x,y,z'
loop_
_atom_site_label
_atom_site_type_symbol
_atom_site_fract_x
_atom_site_fract_y
_atom_site_fract_z
_atom_site_occupancy
Sc1 Sc 0.124 0.124 0.124 1
Sc2 Sc 0.375 0.375 0.375 1
Sc3 Sc 0.625 0.625 0.625 1
Sc4 Sc 0.876 0.876 0.876 1
Ir1 Ir 0.000 0.000 0.000 1
Pd1 Pd 0.251 0.251 0.251 1
Pd2 Pd 0.749 0.749 0.749 1
```

---

(3)
Pr4DyY4: relaxed, GGA-PBE.

Calculated formation energy: 0.020 eV per atom
Density: 5.88 g/cm3
Relative energy among the computed polymorphs: 0.004 eV/atom
Symmetry: I4/mmm, No. 139
Magnetic moment: 0.000 μB/cell

The structure in CIF format:
```
data_Pr4DyY4
_chemical_formula_sum 'Pr4 Dy1 Y4'
_cell_length_a 8.126
_cell_length_b 8.126
_cell_length_c 8.126
_cell_angle_alpha 95.74
_cell_angle_beta 95.74
_cell_angle_gamma 143.14
_space_group_name_H-M_alt 'P 1'
_space_group_IT_number 1
loop_
_space_group_symop_operation_xyz
'x,y,z'
loop_
_atom_site_label
_atom_site_type_symbol
_atom_site_fract_x
_atom_site_fract_y
_atom_site_fract_z
_atom_site_occupancy
Pr1 Pr 0.000 0.331 0.331 1
Pr2 Pr 0.000 0.669 0.669 1
Pr3 Pr 0.331 0.000 0.331 1
Pr4 Pr 0.669 0.000 0.669 1
Dy1 Dy 0.000 0.000 0.000 1
Y1 Y 0.335 0.335 0.669 1
Y2 Y 0.335 0.665 0.000 1
Y3 Y 0.665 0.335 0.000 1
Y4 Y 0.665 0.665 0.331 1
```

---

(4)
TaMnRu2: relaxed, GGA-PBE.

Calculated formation energy: -0.094 eV per atom
Density: 12.40 g/cm3
Relative energy among the computed polymorphs: 0.167 eV/atom
Symmetry: I-4m2, No. 119
Magnetic moment: 4.971 μB/cell

The structure in CIF format:
```
data_TaMnRu2
_chemical_formula_sum 'Ta2 Mn2 Ru4'
_cell_length_a 3.811
_cell_length_b 3.811
_cell_length_c 8.079
_cell_angle_alpha 90.00
_cell_angle_beta 90.00
_cell_angle_gamma 90.00
_space_group_name_H-M_alt 'P 1'
_space_group_IT_number 1
loop_
_space_group_symop_operation_xyz
'x,y,z'
loop_
_atom_site_label
_atom_site_type_symbol
_atom_site_fract_x
_atom_site_fract_y
_atom_site_fract_z
_atom_site_occupancy
Ta1 Ta 0.000 0.000 0.000 1
Ta2 Ta 0.500 0.500 0.500 1
Mn1 Mn 0.000 0.500 0.750 1
Mn2 Mn 0.500 0.000 0.250 1
Ru1 Ru 0.000 0.000 0.500 1
Ru2 Ru 0.000 0.500 0.250 1
Ru3 Ru 0.500 0.000 0.750 1
Ru4 Ru 0.500 0.500 0.000 1
```

---

(5)
Na2Ag5Pd5: relaxed, GGA-PBE.

Calculated formation energy: -0.020 eV per atom
Density: 7.86 g/cm3
Symmetry: Pmmm, No. 47
Magnetic moment: 0.000 μB/cell

The structure in CIF format:
```
data_Na2Ag5Pd5
_chemical_formula_sum 'Na2 Ag5 Pd5'
_cell_length_a 4.627
_cell_length_b 5.386
_cell_length_c 9.478
_cell_angle_alpha 90.00
_cell_angle_beta 90.00
_cell_angle_gamma 90.00
_space_group_name_H-M_alt 'P 1'
_space_group_IT_number 1
loop_
_space_group_symop_operation_xyz
'x,y,z'
loop_
_atom_site_label
_atom_site_type_symbol
_atom_site_fract_x
_atom_site_fract_y
_atom_site_fract_z
_atom_site_occupancy
Na1 Na 0.000 0.000 0.000 1
Na2 Na 0.000 0.500 0.500 1
Ag1 Ag 0.000 0.000 0.324 1
Ag2 Ag 0.000 0.000 0.676 1
Ag3 Ag 0.000 0.500 0.165 1
Ag4 Ag 0.000 0.500 0.835 1
Ag5 Ag 0.500 0.000 0.500 1
Pd1 Pd 0.500 0.249 0.245 1
Pd2 Pd 0.500 0.249 0.755 1
Pd3 Pd 0.500 0.500 0.000 1
Pd4 Pd 0.500 0.751 0.245 1
Pd5 Pd 0.500 0.751 0.755 1
```

---

(6)
Ce4Sm2Sn3O2: relaxed, GGA-PBE.

Density: 7.14 g/cm3
Symmetry: I4/mmm, No. 139
Magnetic moment: 3.669 μB/cell
Formation energy (no corrections): -1406 meV per atom

The structure in CIF format:
```
data_Ce4Sm2Sn3O2
_chemical_formula_sum 'Ce4 Sm2 Sn3 O2'
_cell_length_a 13.407
_cell_length_b 13.407
_cell_length_c 13.407
_cell_angle_alpha 159.68
_cell_angle_beta 159.68
_cell_angle_gamma 28.90
_space_group_name_H-M_alt 'P 1'
_space_group_IT_number 1
loop_
_space_group_symop_operation_xyz
'x,y,z'
loop_
_atom_site_label
_atom_site_type_symbol
_atom_site_fract_x
_atom_site_fract_y
_atom_site_fract_z
_atom_site_occupancy
Ce1 Ce 0.084 0.584 0.500 1
Ce2 Ce 0.416 0.916 0.500 1
Ce3 Ce 0.584 0.084 0.500 1
Ce4 Ce 0.916 0.416 0.500 1
Sm1 Sm 0.197 0.197 0.000 1
Sm2 Sm 0.803 0.803 0.000 1
Sn1 Sn 0.322 0.322 0.000 1
Sn2 Sn 0.500 0.500 0.000 1
Sn3 Sn 0.678 0.678 0.000 1
O1 O 0.101 0.101 0.000 1
O2 O 0.899 0.899 0.000 1
```

---

(7)
BaLi2CrAs: relaxed, GGA-PBE.

Calculated formation energy: 0.518 eV per atom
Density: 2.92 g/cm3
Symmetry: P4/mmm, No. 123
Magnetic moment: 5.057 μB/cell

The structure in CIF format:
```
data_BaLi2CrAs
_chemical_formula_sum 'Ba1 Li2 Cr1 As1'
_cell_length_a 5.004
_cell_length_b 5.004
_cell_length_c 6.313
_cell_angle_alpha 90.00
_cell_angle_beta 90.00
_cell_angle_gamma 90.00
_space_group_name_H-M_alt 'P 1'
_space_group_IT_number 1
loop_
_space_group_symop_operation_xyz
'x,y,z'
loop_
_atom_site_label
_atom_site_type_symbol
_atom_site_fract_x
_atom_site_fract_y
_atom_site_fract_z
_atom_site_occupancy
Ba1 Ba 0.000 0.000 0.000 1
Li1 Li 0.000 0.500 0.500 1
Li2 Li 0.500 0.000 0.500 1
Cr1 Cr 0.000 0.000 0.500 1
As1 As 0.500 0.500 0.000 1
```

---

(8)
Ti5In2Pt: relaxed, GGA-PBE.

Calculated formation energy: -0.284 eV per atom
Density: 7.74 g/cm3
Symmetry: I4/mmm, No. 139
Magnetic moment: 2.785 μB/cell

The structure in CIF format:
```
data_Ti5In2Pt
_chemical_formula_sum 'Ti10 In4 Pt2'
_cell_length_a 4.138
_cell_length_b 4.138
_cell_length_c 16.641
_cell_angle_alpha 90.00
_cell_angle_beta 90.00
_cell_angle_gamma 90.00
_space_group_name_H-M_alt 'P 1'
_space_group_IT_number 1
loop_
_space_group_symop_operation_xyz
'x,y,z'
loop_
_atom_site_label
_atom_site_type_symbol
_atom_site_fract_x
_atom_site_fract_y
_atom_site_fract_z
_atom_site_occupancy
Ti1 Ti 0.000 0.000 0.000 1
Ti2 Ti 0.000 0.500 0.115 1
Ti3 Ti 0.000 0.500 0.385 1
Ti4 Ti 0.000 0.500 0.615 1
Ti5 Ti 0.000 0.500 0.885 1
Ti6 Ti 0.500 0.000 0.115 1
Ti7 Ti 0.500 0.000 0.385 1
Ti8 Ti 0.500 0.000 0.615 1
Ti9 Ti 0.500 0.000 0.885 1
Ti10 Ti 0.500 0.500 0.500 1
In1 In 0.000 0.000 0.250 1
In2 In 0.000 0.000 0.750 1
In3 In 0.500 0.500 0.250 1
In4 In 0.500 0.500 0.750 1
Pt1 Pt 0.000 0.000 0.500 1
Pt2 Pt 0.500 0.500 0.000 1
```